## BO2F3 (meta-GGA SCAN)

Data for a PBEsol-optimized structure of BO2F3.

The uncorrected formation energy is -1925 meV/atom. Its electronic total energy is -7.010 eV per atom. Its magnetization is 0.33 μB per atom.

It has space group P2_1/c (No. 14), with a = 6.038 Å, b = 7.764 Å, c = 7.946 Å, α = 90.00°, β = 97.96° and γ = 90.00°. Symmetry generates all atoms from B at (0.190, 0.147, 0.409), O at (0.305, 0.691, 0.376), O at (0.425, 0.682, 0.513), F at (0.074, 0.208, 0.901), F at (0.225, 0.059, 0.553) and F at (0.266, 0.087, 0.272).

## YZrAs2 (meta-GGA SCAN)

Data for a PBEsol-optimized structure of YZrAs2.

The excess energy over the best structure of this formula in the dataset is 0.4614 eV per atom. Its electronic total energy is -25.768 eV per atom. The formation energy comes out at -1.0369 eV per atom. Its magnetization is 0.00 μB per atom.

It has space group Cmmm (No. 65), with a = 4.242 Å, b = 5.283 Å, c = 7.275 Å, α = 90.00°, β = 90.00° and γ = 90.00°. Symmetry generates all atoms from Y at (0.000, 0.000, 0.000), Zr at (0.000, 0.000, 0.500) and As at (0.000, 0.500, 0.261).

## Rb2NbP (meta-GGA SCAN)

Data for a PBEsol-optimized structure of Rb2NbP.

Its electronic total energy is -20.996 eV per atom. The formation energy comes out at 0.2555 eV per atom. Its magnetization is 0.90 μB per atom.

It has space group I-42d (No. 122), with a = 12.756 Å, b = 12.756 Å, c = 4.857 Å, α = 90.00°, β = 90.00° and γ = 90.00°. Symmetry generates all atoms from Rb at (0.069, 0.250, 0.125), Nb at (0.000, 0.000, 0.500) and P at (0.000, 0.000, 0.000).

## BaFe2Mo (meta-GGA SCAN)

Data for a PBEsol-optimized structure of BaFe2Mo.

The excess energy over the best structure of this formula in the dataset is 0.0000 eV per atom. Its electronic total energy is -27.070 eV per atom. The formation energy comes out at 0.6037 eV per atom. Its magnetization is 1.01 μB per atom.

It has space group R-3m (No. 166, hexagonal axes), with a = 4.1237 Å, b = 4.1237 Å, c = 17.6047 Å, α = 90.00°, β = 90.00° and γ = 120.00°. Symmetry generates all atoms from Ba at (0.0000, 0.0000, 0.0000), Fe at (0.0000, 0.0000, 0.1897) and Mo at (0.0000, 0.0000, 0.5000).

The lowest magnetization belongs to which entry? YZrAs2